Entry 1:
Crystalline Ho2MgBe at its relaxed geometry. Source: Alexandria via LeMat-Bulk, functional GGA-PBE.

Geometry as POSCAR:
```
Ho2MgBe
1.0
-0.6409 -2.7818 1.7753
2.0124 -2.6776 -0.2862
6.4738 1.8545 8.4258
Be Mg Ho
1 1 2
Cartesian
3.9226 -1.8024 4.9574
0.0000 0.0000 0.0000
4.5957 0.7076 5.9506
3.2496 -4.3124 3.9643
```

Output
The value obtained for the offset from the most stable computed form is 34.41 kJ/mol of atoms. The calculation puts the total energy at -3.263 eV per atom. The crystal system is trigonal.

Entry 2:
Crystalline Ho2MgBe at its relaxed geometry. Source: Alexandria via LeMat-Bulk, functional GGA-PBE.

Geometry as POSCAR:
```
Ho2MgBe
1.0
-0.6577 4.5813 2.0595
-3.8900 0.8323 3.1365
0.8394 0.6974 4.9469
Be Mg Ho
1 1 2
Cartesian
-1.8542 3.0555 5.0715
0.0000 0.0000 0.0000
-0.9271 1.5277 2.5357
-2.7812 4.5832 7.6072
```

Output
The value obtained for the offset from the most stable computed form is 8.69 kJ/mol of atoms. The calculation puts the total energy at -3.530 eV per atom. The crystal system is cubic.

Entry 3:
Crystalline Ho2MgBe at its relaxed geometry. Source: Alexandria via LeMat-Bulk, functional GGA-PBE.

Geometry as POSCAR:
```
Ho2MgBe
1.0
-2.7130 -2.0523 0.4048
1.3977 -2.2717 -2.1498
3.5944 -3.5505 6.0887
Be Mg Ho
1 1 2
Cartesian
-0.6576 -2.1620 -0.8725
1.1396 -3.9372 2.1719
2.8544 -2.8195 4.8352
0.7400 -0.7310 1.2535
```

Output
The value obtained for the offset from the most stable computed form is 0.00 kJ/mol of atoms. The calculation puts the total energy at -3.620 eV per atom. The crystal system is tetragonal.

Entry 4:
Crystalline Ho2MgBe2Pd5 at its relaxed geometry. Source: Alexandria via LeMat-Bulk, functional GGA-PBE.

Geometry as POSCAR:
```
Ho2MgBe2Pd5
1.0
3.4660 0.0000 0.0000
0.0000 9.6731 0.0000
0.0000 0.0000 9.6731
Ho Mg Be Pd
4 2 4 10
Cartesian
0.0000 6.5509 1.7143
0.0000 3.1222 7.9588
0.0000 1.7143 3.1222
0.0000 7.9588 6.5509
0.0000 0.0000 0.0000
0.0000 4.8365 4.8365
0.0000 1.1534 5.9900
0.0000 8.5197 3.6831
0.0000 5.9900 8.5197
0.0000 3.6831 1.1534
1.7330 2.1067 0.6660
1.7330 7.5664 9.0071
1.7330 0.6660 7.5664
1.7330 6.9433 4.1705
1.7330 9.0071 2.1067
1.7330 2.7298 5.5025
1.7330 5.5025 6.9433
1.7330 4.1705 2.7298
1.7330 4.8365 0.0000
1.7330 0.0000 4.8365
```

Output
The calculation puts the total energy at -5.190 eV per atom. The crystal system is tetragonal.

Entry 5:
Crystalline PrHoMgBe at its relaxed geometry. Source: Alexandria via LeMat-Bulk, functional GGA-PBE.

Geometry as POSCAR:
```
PrHoMgBe
1.0
-2.4807 2.9325 -3.4640
-3.2638 -2.1793 -3.3692
-5.0919 0.7884 0.4523
Pr Be Mg Ho
1 1 1 1
Cartesian
0.0000 0.0000 0.0000
-8.1273 1.1562 -4.7857
-2.7091 0.3854 -1.5952
-5.4182 0.7708 -3.1904
```

Output
The calculation puts the total energy at -3.559 eV per atom. The crystal system is cubic.

Entry 6:
Crystalline Ho2MgBe2Rh5 at its relaxed geometry. Source: Alexandria via LeMat-Bulk, functional GGA-PBE.

Geometry as POSCAR:
```
Ho2MgBe2Rh5
1.0
3.2394 0.0000 0.0000
0.0000 9.6888 0.0000
0.0000 0.0000 9.6888
Ho Mg Be Rh
4 2 4 10
Cartesian
0.0000 6.5534 1.7091
0.0000 3.1353 7.9797
0.0000 1.7091 3.1353
0.0000 7.9797 6.5534
0.0000 0.0000 0.0000
0.0000 4.8444 4.8444
0.0000 1.1764 6.0208
0.0000 8.5124 3.6680
0.0000 6.0208 8.5124
0.0000 3.6680 1.1764
1.6197 2.0885 0.6712
1.6197 7.6002 9.0176
1.6197 0.6712 7.6002
1.6197 6.9329 4.1732
1.6197 9.0176 2.0885
1.6197 2.7559 5.5156
1.6197 5.5156 6.9329
1.6197 4.1732 2.7559
1.6197 4.8444 0.0000
1.6197 0.0000 4.8444
```

Output
The calculation puts the total energy at -6.259 eV per atom. The crystal system is tetragonal.

Entry 7:
Crystalline HoMgScBe at its relaxed geometry. Source: Alexandria via LeMat-Bulk, functional GGA-PBE.

Geometry as POSCAR:
```
HoMgScBe
1.0
-4.7882 1.1711 0.0176
-3.3413 -3.2635 -1.5762
-3.0519 -2.1522 3.2176
Sc Be Mg Ho
1 1 1 1
Cartesian
-8.3861 -3.1834 1.2442
0.0000 0.0000 0.0000
-5.5907 -2.1223 0.8295
-2.7954 -1.0611 0.4147
```

Output
The calculation puts the total energy at -3.976 eV per atom. The crystal system is cubic.

Entry 8:
Crystalline HoTmMgBe at its relaxed geometry. Source: Alexandria via LeMat-Bulk, functional GGA-PBE.

Geometry as POSCAR:
```
HoTmMgBe
1.0
5.0472 0.0000 0.0000
2.5236 4.3710 0.0000
2.5236 1.4570 4.1211
Be Mg Tm Ho
1 1 1 1
Cartesian
2.5236 1.4570 1.0303
7.5709 4.3710 3.0908
0.0000 0.0000 0.0000
5.0472 2.9140 2.0605
```

Output
The calculation puts the total energy at -3.503 eV per atom. The crystal system is cubic.

Entry 9:
Crystalline YHoMgBe at its relaxed geometry. Source: Alexandria via LeMat-Bulk, functional GGA-PBE.

Geometry as POSCAR:
```
YHoMgBe
1.0
5.0869 0.0000 0.0000
2.5434 4.4054 0.0000
2.5434 1.4685 4.1534
Y Be Mg Ho
1 1 1 1
Cartesian
0.0000 0.0000 0.0000
2.5434 1.4685 1.0384
7.6303 4.4054 3.1151
5.0869 2.9369 2.0767
```

Output
The calculation puts the total energy at -4.012 eV per atom. The crystal system is cubic.

Entry 10:
Crystalline HoMgBeZn at its relaxed geometry. Source: Alexandria via LeMat-Bulk, functional GGA-PBE.

Geometry as POSCAR:
```
HoMgBeZn
1.0
-0.5678 3.0898 -3.4834
-3.0422 -0.8952 -3.4565
-3.9767 2.4670 -0.3218
Mg Be Zn Ho
1 1 1 1
Cartesian
-1.8967 1.1654 -1.8154
-3.7934 2.3308 -3.6309
0.0000 0.0000 0.0000
-5.6901 3.4962 -5.4463
```

Output
The calculation puts the total energy at -2.893 eV per atom. The crystal system is cubic.

Entry 11:
Crystalline Ho2Mn16Be at its relaxed geometry. Source: Alexandria via LeMat-Bulk, functional GGA-PBE.

Geometry as POSCAR:
```
Ho2Mn16Be
1.0
-2.4165 5.6843 -1.1014
-4.9972 -0.9443 3.6742
2.6872 2.5881 5.0443
Ho Mn Be
2 16 1
Cartesian
-3.0670 4.7550 4.9426
-1.6732 2.5941 2.6965
-6.0233 3.8988 4.2284
-1.8047 7.3052 3.5691
-1.6119 3.4316 7.4153
-5.3276 5.6858 2.9410
-0.4287 6.4705 5.2259
-3.6835 2.4793 7.0460
-4.2639 2.1273 4.6128
-2.9328 5.5465 2.1494
-0.3002 3.9494 5.3195
-0.4453 5.2265 3.0030
-1.7921 1.7673 5.4953
-4.4556 3.3831 2.2880
-2.4944 -0.4558 1.8419
-1.2109 2.8411 -0.5334
1.3276 1.3011 2.5233
-0.4711 0.7303 0.7591
-4.2438 6.5796 6.8391
```

Output
The calculation puts the total energy at -8.396 eV per atom. The crystal system is trigonal.

Entry 12:
Crystalline HoMnBe17 at its relaxed geometry. Source: Alexandria via LeMat-Bulk, functional GGA-PBE.

Geometry as POSCAR:
```
HoMnBe17
1.0
-0.2004 -2.8398 4.8802
2.6008 -4.6696 -1.8308
5.1812 1.3693 1.7893
Ho Mn Be
1 1 17
Cartesian
4.9935 -4.0441 3.1869
2.4925 -2.0186 1.5908
3.6133 0.1151 2.6580
0.6437 -3.3412 2.9252
3.3280 -2.9168 -0.7423
1.8107 -4.1035 0.1291
4.4031 -0.4008 0.7659
1.3712 -1.6386 3.9458
3.9272 -4.5077 0.6991
5.2632 -1.3810 2.5734
2.4769 -3.5603 4.1737
3.6699 -1.7170 4.0515
2.4064 -4.6741 2.2789
5.0416 -2.6130 0.7654
6.2751 -3.8176 5.7268
5.0022 -6.7965 3.9411
7.6569 -4.7202 2.4164
6.8754 -5.5682 4.3881
0.7745 -0.6273 0.4943
```

Output
The calculation puts the total energy at -4.130 eV per atom. The crystal system is trigonal.

no.,total magnetization (μB/f.u.),energy of formation from the pure elements (meV/atom)
1,0.00,356
2,0.00,89
3,0.00,-1
4,0.00,-773
5,0.00,110
6,0.00,-763
7,0.00,81
8,0.00,89
9,0.00,79
10,0.00,-100
11,10.52,4
12,2.71,-73